*P*
{
  "formula": "Pm2ErTe",
  "functional": "GGA-PBE",
  "state": "relaxed",
  "lattice": [[3.9316, 0.0000, 0.0000], [-1.9658, 3.4049, 0.0000], [0.0000, 0.0000, 30.0484]],
  "species": ["Pm", "Pm", "Pm", "Pm", "Pm", "Pm", "Er", "Er", "Er", "Te", "Te", "Te"],
  "fractional_positions": [[0.0000, 0.0000, 0.2394], [0.0000, 0.0000, 0.7606], [0.3333, 0.6667, 0.4273], [0.3333, 0.6667, 0.9061], [0.6667, 0.3333, 0.0939], [0.6667, 0.3333, 0.5727], [0.0000, 0.0000, 0.0000], [0.3333, 0.6667, 0.6667], [0.6667, 0.3333, 0.3333], [0.0000, 0.0000, 0.5000], [0.3333, 0.6667, 0.1667], [0.6667, 0.3333, 0.8333]],
  "dos_at_fermi_per_ev_fu": 4.6,
  "sg": "R-3m (166)"
}

*Q*
{
  "formula": "Pm2ErTe",
  "functional": "GGA-PBE",
  "state": "relaxed",
  "lattice": [[3.9711, 0.0000, 0.0000], [0.0000, 3.9711, 0.0000], [0.0000, 0.0000, 7.8030]],
  "species": ["Pm", "Pm", "Er", "Te"],
  "fractional_positions": [[0.0000, 0.0000, 0.2270], [0.0000, 0.0000, 0.7730], [0.5000, 0.5000, 0.5000], [0.5000, 0.5000, 0.0000]],
  "dos_at_fermi_per_ev_fu": 5.0,
  "sg": "P4/mmm (123)"
}

What is the most stable structure shown above? It is *Q*.